The following is a DFT calculation (PBE-GGA) of crystalline TcOs2Ru at its relaxed geometry.

Results
The formation energy comes out at 2.10 eV/f.u. As for the calculated volume: 62 Å³ per cell. Its symmetry is R3m, No. 160. Its crystal system is trigonal.

a b c (Å): 4.6430 4.6430 4.6430
angles (deg): 54.58 54.58 54.58
With the nearest neighbours (Å) after each atom.
Fractional positions:
Tc 0.0000 0.0000 0.0000  4 Ru 2.62-2.79, 7 Os 2.64-2.79
Os 0.2233 0.2233 0.2233  4 Os 2.63-2.79, 4 Tc 2.64-2.78, 3 Ru 2.79
Os 0.4455 0.4455 0.4455  3 Ru 2.46, 1 Os 2.63
Ru 0.7786 0.7786 0.7786  3 Os 2.46, 1 Tc 2.62